Record 1
The following is a DFT calculation (PBE-GGA) of an optimized crystal structure of LaAgBiO.

```
LaAgBiO
1.0
4.162 0.000 0.000
0.000 4.162 0.000
0.000 0.000 11.048
La Ag Bi O
2 2 2 2
direct
0.250 0.250 0.107
0.750 0.750 0.893
0.250 0.750 0.500
0.750 0.250 0.500
0.250 0.250 0.693
0.750 0.750 0.307
0.250 0.750 0.000
0.750 0.250 0.000
```

Calculated values
- DOS at the Fermi energy (states/eV/cell) = 3.84
- formation energy (no corrections) (kJ/mol of atoms) = -154.8
- final energy (eV per atom) = -5.759
- volume (Å³/cell) = 191.4

***

Record 2
The following is a DFT calculation (PBE-GGA) of an optimized crystal structure of LaAgBiPd.

```
LaAgBiPd
1.0
0.000 3.627 3.627
3.627 0.000 3.627
3.627 3.627 0.000
La Ag Bi Pd
1 1 1 1
direct
0.000 0.000 0.000
0.250 0.250 0.250
0.500 0.500 0.500
0.750 0.750 0.750
```

Calculated values
- energy relative to the elements (eV/atom) = -0.54
- DOS at the Fermi energy (states/eV/cell) = 2.08
- final energy (eV per atom) = -4.752
- volume (Å³/cell) = 95.4

***

Record 3
The following is a DFT calculation (PBE-GGA) of an optimized crystal structure of La2AgBiPt.

```
La2AgBiPt
1.0
6.083 0.000 0.000
0.000 6.083 0.000
0.000 0.000 5.084
La Ag Bi Pt
2 1 1 1
direct
0.000 0.500 0.000
0.500 0.000 0.000
0.000 0.000 0.500
0.000 0.000 0.000
0.500 0.500 0.500
```

Calculated values
- energy relative to the elements (eV/atom) = 0.34
- DOS at the Fermi energy (states/eV/cell) = 6.35
- final energy (eV per atom) = -4.190
- volume (Å³/cell) = 188.1

***

Record 4
The following is a DFT calculation (PBE-GGA) of an optimized crystal structure of LaPuAgBi.

```
LaPuAgBi
1.0
0.000 3.871 3.871
3.871 0.000 3.871
3.871 3.871 0.000
La Pu Ag Bi
1 1 1 1
direct
0.000 0.000 0.000
0.500 0.500 0.500
0.750 0.750 0.750
0.250 0.250 0.250
```

Calculated values
- energy relative to the elements (eV/atom) = -0.35
- DOS at the Fermi energy (states/eV/cell) = 11.82
- final energy (eV per atom) = -6.849
- volume (Å³/cell) = 116.0

***

Record 5
The following is a DFT calculation (PBE-GGA) of an optimized crystal structure of La2AgBiRh.

```
La2AgBiRh
1.0
6.088 0.000 0.000
0.000 6.088 0.000
0.000 0.000 5.076
La Ag Bi Rh
2 1 1 1
direct
0.000 0.500 0.000
0.500 0.000 0.000
0.000 0.000 0.500
0.000 0.000 0.000
0.500 0.500 0.500
```

Calculated values
- energy relative to the elements (eV/atom) = 0.56
- DOS at the Fermi energy (states/eV/cell) = 5.31
- final energy (eV per atom) = -4.231
- volume (Å³/cell) = 188.1

***

Record 6
The following is a DFT calculation (PBE-GGA) of an optimized crystal structure of LaAgBiRu2.

```
LaAgBiRu2
1.0
5.049 0.000 0.000
0.000 5.049 0.000
0.000 0.000 5.118
La Ag Bi Ru
1 1 1 2
direct
0.000 0.000 0.000
0.500 0.500 0.000
0.500 0.500 0.500
0.000 0.500 0.500
0.500 0.000 0.500
```

Calculated values
- energy relative to the elements (eV/atom) = 0.82
- DOS at the Fermi energy (states/eV/cell) = 3.74
- final energy (eV per atom) = -5.218
- volume (Å³/cell) = 130.5

***

Record 7
The following is a DFT calculation (PBE-GGA) of an optimized crystal structure of LaAg2BiS4.

```
LaAg2BiS4
1.0
6.668 0.000 0.000
0.000 4.153 0.000
-2.742 0.000 6.660
La Ag Bi S
1 2 1 4
direct
0.000 0.000 0.000
0.500 0.000 0.500
0.500 0.500 0.000
0.000 0.500 0.500
0.252 0.500 0.260
0.258 0.000 0.754
0.742 0.000 0.246
0.748 0.500 0.740
```

Calculated values
- formation energy (no corrections) (kJ/mol of atoms) = -74.4
- final energy (eV per atom) = -4.649
- volume (Å³/cell) = 184.5

***

Record 8
The following is a DFT calculation (PBE-GGA) of an optimized crystal structure of La2AgBiSe5.

```
La2AgBiSe5
1.0
2.152 -9.239 0.000
2.152 9.239 0.000
0.000 0.000 12.378
La Ag Bi Se
4 2 2 10
direct
0.119 0.881 0.500
0.130 0.870 0.878
0.870 0.130 0.378
0.881 0.119 0.000
0.233 0.767 0.236
0.767 0.233 0.736
0.411 0.589 0.676
0.589 0.411 0.176
0.027 0.973 0.288
0.294 0.706 0.520
0.304 0.696 0.860
0.369 0.631 0.189
0.488 0.512 0.479
0.512 0.488 0.979
0.631 0.369 0.689
0.696 0.304 0.360
0.706 0.294 0.020
0.973 0.027 0.788
```

Calculated values
- formation energy (no corrections) (kJ/mol of atoms) = -113.6
- final energy (eV per atom) = -4.957
- volume (Å³/cell) = 492.2

***

Record 9
The following is a DFT calculation (PBE-GGA) of an optimized crystal structure of LaSmAgBi.

```
LaSmAgBi
1.0
0.000 3.871 3.871
3.871 0.000 3.871
3.871 3.871 0.000
La Sm Ag Bi
1 1 1 1
direct
0.000 0.000 0.000
0.500 0.500 0.500
0.750 0.750 0.750
0.250 0.250 0.250
```

Calculated values
- energy relative to the elements (eV/atom) = -0.51
- DOS at the Fermi energy (states/eV/cell) = 3.93
- final energy (eV per atom) = -4.605
- volume (Å³/cell) = 116.0

***

Record 10
The following is a DFT calculation (PBE-GGA) of an optimized crystal structure of SrLaAgBi.

```
SrLaAgBi
1.0
0.000 3.985 3.985
3.985 0.000 3.985
3.985 3.985 0.000
Sr La Ag Bi
1 1 1 1
direct
0.000 0.000 0.000
0.500 0.500 0.500
0.750 0.750 0.750
0.250 0.250 0.250
```

Calculated values
- energy relative to the elements (eV/atom) = -0.54
- DOS at the Fermi energy (states/eV/cell) = 4.05
- final energy (eV per atom) = -3.877
- volume (Å³/cell) = 126.5

***

Record 11
The following is a DFT calculation (PBE-GGA) of an optimized crystal structure of LaTbAgBi.

```
LaTbAgBi
1.0
0.000 3.846 3.846
3.846 0.000 3.846
3.846 3.846 0.000
La Tb Ag Bi
1 1 1 1
direct
0.000 0.000 0.000
0.500 0.500 0.500
0.250 0.250 0.250
0.750 0.750 0.750
```

Calculated values
- energy relative to the elements (eV/atom) = -0.48
- DOS at the Fermi energy (states/eV/cell) = 4.51
- final energy (eV per atom) = -4.556
- volume (Å³/cell) = 113.7

***

Record 12
The following is a DFT calculation (PBE-GGA) of an optimized crystal structure of LaAgBiTe3.

```
LaAgBiTe3
1.0
8.408 0.000 0.000
0.000 4.315 0.000
-0.624 0.000 11.508
La Ag Bi Te
2 2 2 6
direct
0.182 0.250 0.284
0.818 0.750 0.716
0.080 0.250 0.571
0.920 0.750 0.429
0.371 0.750 0.822
0.629 0.250 0.178
0.086 0.250 0.817
0.270 0.750 0.486
0.379 0.750 0.121
0.621 0.250 0.879
0.730 0.250 0.514
0.914 0.750 0.183
```

Calculated values
- DOS at the Fermi energy (states/eV/cell) = 1.65
- formation energy (no corrections) (kJ/mol of atoms) = -61.8
- final energy (eV per atom) = -4.155
- volume (Å³/cell) = 417.6

***

Record 13
The following is a DFT calculation (PBE-GGA) of an optimized crystal structure of LaAgBi2Te.

```
LaAgBi2Te
1.0
6.003 0.000 0.000
0.000 6.003 0.000
0.000 0.000 5.102
La Ag Bi Te
1 1 2 1
direct
0.000 0.000 0.000
0.500 0.500 0.000
0.000 0.500 0.500
0.500 0.000 0.500
0.500 0.500 0.500
```

Calculated values
- DOS at the Fermi energy (states/eV/cell) = 3.05
- formation energy (no corrections) (kJ/mol of atoms) = 12.7
- final energy (eV per atom) = -3.605
- volume (Å³/cell) = 183.8

***

Record 14
The following is a DFT calculation (PBE-GGA) of an optimized crystal structure of LaThAgBi.

```
LaThAgBi
1.0
0.000 3.890 3.890
3.890 0.000 3.890
3.890 3.890 0.000
La Th Ag Bi
1 1 1 1
direct
0.000 0.000 0.000
0.500 0.500 0.500
0.250 0.250 0.250
0.750 0.750 0.750
```

Calculated values
- energy relative to the elements (eV/atom) = -0.34
- DOS at the Fermi energy (states/eV/cell) = 4.86
- final energy (eV per atom) = -5.108
- volume (Å³/cell) = 117.7

***

Record 15
The following is a DFT calculation (PBE-GGA) of an optimized crystal structure of Li3Ag2Bi.

```
Li3Ag2Bi
1.0
4.685 0.000 0.000
-2.342 4.057 0.000
0.000 0.000 11.384
Li Ag Bi
6 4 2
direct
0.000 0.000 0.243
0.000 0.000 0.757
0.333 0.667 0.415
0.333 0.667 0.923
0.667 0.333 0.077
0.667 0.333 0.585
0.000 0.000 0.000
0.000 0.000 0.500
0.333 0.667 0.159
0.667 0.333 0.841
0.333 0.667 0.673
0.667 0.333 0.327
```

Calculated values
- energy relative to the elements (eV/atom) = -0.30
- DOS at the Fermi energy (states/eV/cell) = 2.97
- final energy (eV per atom) = -2.854
- ΔE to the lowest computed polymorph (eV/atom) = 0.000
- volume (Å³/cell) = 216.4

***

Record 16
The following is a DFT calculation (PBE-GGA) of an optimized crystal structure of Li2Ag2Bi.

```
Li2Ag2Bi
1.0
4.662 -2.126 0.000
4.662 2.126 0.000
-0.192 0.000 9.800
Li Ag Bi
4 4 2
direct
0.051 0.051 0.139
0.145 0.145 0.449
0.855 0.855 0.551
0.949 0.949 0.861
0.358 0.358 0.048
0.457 0.457 0.360
0.543 0.543 0.640
0.642 0.642 0.952
0.243 0.243 0.749
0.757 0.757 0.251
```

Calculated values
- energy relative to the elements (eV/atom) = -0.22
- DOS at the Fermi energy (states/eV/cell) = 3.23
- final energy (eV per atom) = -2.903
- ΔE to the lowest computed polymorph (eV/atom) = 0.044
- volume (Å³/cell) = 194.2

***

Record 17
The following is a DFT calculation (PBE-GGA) of an optimized crystal structure of Li5Ag2Bi5.

```
Li5Ag2Bi5
1.0
7.131 -2.384 0.000
7.131 2.384 0.000
-4.690 0.000 8.281
Li Ag Bi
5 2 5
direct
0.000 0.000 0.000
0.074 0.074 0.386
0.182 0.182 0.869
0.818 0.818 0.131
0.926 0.926 0.614
0.308 0.308 0.606
0.692 0.692 0.394
0.237 0.237 0.249
0.446 0.446 0.118
0.500 0.500 0.500
0.554 0.554 0.882
0.763 0.763 0.751
```

Calculated values
- energy relative to the elements (eV/atom) = -0.24
- DOS at the Fermi energy (states/eV/cell) = 4.46
- final energy (eV per atom) = -3.127
- volume (Å³/cell) = 281.6

***

Record 18
The following is a DFT calculation (PBE-GGA) of an optimized crystal structure of Li3Ag4Bi.

```
Li3Ag4Bi
1.0
3.320 0.000 0.000
-0.001 4.718 0.000
-1.647 -1.162 9.270
Li Ag Bi
3 4 1
direct
0.000 0.000 0.000
0.134 0.586 0.267
0.866 0.414 0.733
0.247 0.247 0.495
0.376 0.927 0.753
0.624 0.073 0.247
0.753 0.753 0.505
0.500 0.500 0.000
```

Calculated values
- energy relative to the elements (eV/atom) = -0.21
- DOS at the Fermi energy (states/eV/cell) = 1.17
- final energy (eV per atom) = -2.838
- ΔE to the lowest computed polymorph (eV/atom) = 0.000
- volume (Å³/cell) = 145.2

***

Record 19
The following is a DFT calculation (PBE-GGA) of an optimized crystal structure of LiAg5Bi2.

```
LiAg5Bi2
1.0
4.355 -4.354 0.000
4.355 4.354 0.000
-4.312 0.000 4.361
Li Ag Bi
1 5 2
direct
0.000 0.000 0.000
0.000 0.000 0.500
0.000 0.500 0.500
0.500 0.000 0.500
0.500 0.500 0.000
0.500 0.500 0.500
0.000 0.500 0.000
0.500 0.000 0.000
```

Calculated values
- energy relative to the elements (eV/atom) = -0.04
- DOS at the Fermi energy (states/eV/cell) = 2.07
- final energy (eV per atom) = -3.029
- volume (Å³/cell) = 165.4

***

Record 20
The following is a DFT calculation (PBE-GGA) of an optimized crystal structure of Li5AgBi6.

```
Li5AgBi6
1.0
2.517 -7.641 0.000
2.517 7.641 0.000
-0.009 0.000 7.461
Li Ag Bi
5 1 6
direct
0.000 0.000 0.000
0.333 0.667 0.500
0.338 0.662 0.000
0.662 0.338 0.000
0.667 0.333 0.500
0.000 0.000 0.500
0.167 0.833 0.243
0.167 0.833 0.757
0.500 0.500 0.249
0.500 0.500 0.751
0.833 0.167 0.243
0.833 0.167 0.757
```

Calculated values
- energy relative to the elements (eV/atom) = -0.28
- DOS at the Fermi energy (states/eV/cell) = 3.89
- final energy (eV per atom) = -3.253
- volume (Å³/cell) = 286.9

***

Record 21
The following is a DFT calculation (PBE-GGA) of an optimized crystal structure of Li6Ag2Bi3.

```
Li6Ag2Bi3
1.0
-2.097 2.097 13.866
2.097 -2.097 13.866
2.097 2.097 -13.866
Li Ag Bi
6 2 3
direct
0.074 0.574 0.500
0.231 0.231 0.000
0.426 0.926 0.500
0.574 0.074 0.500
0.769 0.769 0.000
0.926 0.426 0.500
0.137 0.137 0.000
0.863 0.863 0.000
0.336 0.336 0.000
0.500 0.500 0.000
0.664 0.664 0.000
```

Calculated values
- energy relative to the elements (eV/atom) = -0.19
- DOS at the Fermi energy (states/eV/cell) = 6.65
- final energy (eV per atom) = -2.814
- volume (Å³/cell) = 243.9

***

Record 22
The following is a DFT calculation (PBE-GGA) of an optimized crystal structure of LiAgBi3.

```
LiAgBi3
1.0
5.181 0.000 0.000
0.000 5.181 0.000
0.000 0.000 5.181
Li Ag Bi
1 1 3
direct
0.000 0.000 0.000
0.500 0.500 0.500
0.000 0.000 0.500
0.000 0.500 0.000
0.500 0.000 0.000
```

Calculated values
- energy relative to the elements (eV/atom) = 0.31
- DOS at the Fermi energy (states/eV/cell) = 2.87
- final energy (eV per atom) = -2.967
- ΔE to the lowest computed polymorph (eV/atom) = 0.000
- volume (Å³/cell) = 139.0

***

Record 23
The following is a DFT calculation (PBE-GGA) of an optimized crystal structure of Li3Ag2Bi4.

```
Li3Ag2Bi4
1.0
4.891 -2.284 0.000
4.891 2.284 0.000
-1.733 0.000 9.601
Li Ag Bi
3 2 4
direct
0.000 0.000 0.000
0.341 0.341 0.440
0.659 0.659 0.560
0.296 0.296 0.739
0.704 0.704 0.261
0.032 0.032 0.345
0.332 0.332 0.101
0.668 0.668 0.899
0.968 0.968 0.655
```

Calculated values
- energy relative to the elements (eV/atom) = -0.17
- DOS at the Fermi energy (states/eV/cell) = 2.63
- final energy (eV per atom) = -3.169
- volume (Å³/cell) = 214.5

***

Record 24
The following is a DFT calculation (PBE-GGA) of an optimized crystal structure of LiAg4Bi.

```
LiAg4Bi
1.0
2.408 -4.232 0.000
2.408 4.232 0.000
-0.102 0.000 5.881
Li Ag Bi
1 4 1
direct
0.000 0.000 0.000
0.328 0.659 0.238
0.341 0.672 0.762
0.659 0.328 0.238
0.672 0.341 0.762
0.000 0.000 0.500
```

Calculated values
- energy relative to the elements (eV/atom) = -0.03
- DOS at the Fermi energy (states/eV/cell) = 1.38
- final energy (eV per atom) = -2.900
- ΔE to the lowest computed polymorph (eV/atom) = 0.038
- volume (Å³/cell) = 119.9

***

Record 25
The following is a DFT calculation (PBE-GGA) of an optimized crystal structure of LiAgBi2.

```
LiAgBi2
1.0
4.561 0.000 0.000
-2.280 3.950 0.000
0.000 0.000 5.490
Li Ag Bi
1 1 2
direct
0.000 0.000 0.000
0.000 0.000 0.500
0.333 0.667 0.760
0.667 0.333 0.240
```

Calculated values
- energy relative to the elements (eV/atom) = -0.08
- DOS at the Fermi energy (states/eV/cell) = 2.11
- final energy (eV per atom) = -3.210
- ΔE to the lowest computed polymorph (eV/atom) = 0.059
- volume (Å³/cell) = 98.9